Compound: NbCu2AgW
Source: Alexandria via LeMat-Bulk
Functional: GGA-PBE
Structure: relaxed

Cell lengths 4.7882, 4.6837, 4.7882 Å; angles 90.00, 90.00, 90.00 degrees
Atoms (fractional coordinates):
Cu (0.5000, 0.0000, 0.0000)
Cu (0.0000, 0.0000, 0.5000)
Nb (0.0000, 0.0000, 0.0000)
W (0.0000, 0.5000, 0.0000)
Ag (0.5000, 0.5000, 0.5000)

Summary:
total magnetization = 0.000 μB/cell
ρ = 7.91 g cm⁻³
calculated volume = 21.5 Å³ per atom
energy of formation from the pure elements = 8.389 eV per formula unit